(1)
TiSbRh2: optimized geometry, PBE-GGA.

a = 4.0584 Å, b = 4.0584 Å, c = 7.7197 Å
α = 90.00°, β = 90.00°, γ = 90.00°
Last column: nearest neighbours and their distance in Å.
Space group I4/mmm (No. 139)
Symmetry-distinct sites (fractional):
Ti: 0.0000 0.0000 0.0000 x2  8 Rh 2.80, 4 Sb 2.87
Sb: 0.0000 0.0000 0.5000 x2  8 Rh 2.80, 4 Ti 2.87
Rh: 0.0000 0.5000 0.2500 x4  4 Sb 2.80, 4 Ti 2.80, 4 Rh 2.87

Summary:
The value obtained for the uncorrected formation energy is -0.652 eV/atom. For the volume, the calculation gives 15.9 Å³ per atom. The calculation puts the electronic total energy at -7.333 eV per atom. For the total magnetic moment, the calculation gives 0.00 μB per formula unit.

(2)
ScNi5Ge2: optimized geometry, PBE-GGA.

a = 3.4576 Å, b = 6.7586 Å, c = 9.2402 Å
α = 90.00°, β = 90.00°, γ = 90.00°
Last column: nearest neighbours and their distance in Å.
Space group Immm (No. 71)
Symmetry-distinct sites (fractional):
Sc: 0.0000 0.0000 0.0000 x2  4 Ge 2.85, 8 Ni 2.99
Ni: 0.0000 0.1915 0.3623 x8  3 Ge 2.31-2.42, 3 Ni 2.51-2.55
Ni: 0.0000 0.5000 0.0000 x2  2 Ge 2.36, 8 Ni 2.51
Ge: 0.0000 0.5000 0.2550 x4  7 Ni 2.31-2.42

Summary:
Its energy of formation is -0.4042 eV/atom. For the volume, the calculation gives 13.5 Å³ per atom. The calculation puts the electronic total energy at -5.963 eV per atom. For the total magnetic moment, the calculation gives 0.00 μB per formula unit.

(3)
GaTcC2O: optimized geometry, PBE-GGA.

a = 4.0405 Å, b = 4.0405 Å, c = 3.7056 Å
α = 90.00°, β = 90.00°, γ = 90.00°
Last column: nearest neighbours and their distance in Å.
Space group P4/mmm (No. 123)
Symmetry-distinct sites (fractional):
Ga: 0.0000 0.0000 0.0000 x1  8 C 2.74, 4 Tc 2.86
Tc: 0.5000 0.5000 0.0000 x1  2 O 1.85
C: 0.0000 0.5000 0.5000 x2  2 O 2.02
O: 0.5000 0.5000 0.5000 x1  2 Tc 1.85, 4 C 2.02

Summary:
The value obtained for the uncorrected formation energy is 2.004 eV/atom. For the volume, the calculation gives 12.1 Å³ per atom. The calculation puts the electronic total energy at -5.356 eV per atom. For the total magnetic moment, the calculation gives 0.00 μB per formula unit.

(4)
TlB2AsIr: optimized geometry, PBE-GGA.

a = 4.1860 Å, b = 4.1860 Å, c = 5.5899 Å
α = 90.00°, β = 90.00°, γ = 90.00°
Last column: nearest neighbours and their distance in Å.
Space group P4/mmm (No. 123)
Symmetry-distinct sites (fractional):
Tl: 0.0000 0.0000 0.0000 x1  4 B 2.09
B: 0.0000 0.5000 0.0000 x2  2 Tl 2.09
As: 0.0000 0.0000 0.5000 x1  2 Tl 2.79, 4 Ir 2.96
Ir: 0.5000 0.5000 0.5000 x1  4 As 2.96

Summary:
Its energy of formation is 2.4241 eV/atom. For the volume, the calculation gives 19.6 Å³ per atom. The calculation puts the electronic total energy at -3.422 eV per atom. For the total magnetic moment, the calculation gives 0.00 μB per formula unit.

(5)
P2HRu2: optimized geometry, PBE-GGA.

a = 4.0647 Å, b = 4.0647 Å, c = 8.7320 Å
α = 90.00°, β = 90.00°, γ = 90.00°
Last column: nearest neighbours and their distance in Å.
Space group I4/mmm (No. 139)
Symmetry-distinct sites (fractional):
P: 0.0000 0.0000 0.1272 x4  1 P 2.22, 4 Ru 2.30
H: 0.0000 0.0000 0.5000 x2  8 Ru 2.98, 10 P 3.08-3.25
Ru: 0.0000 0.5000 0.2500 x4  4 P 2.30

Summary:
For the volume, the calculation gives 14.4 Å³ per atom. The calculation puts the electronic total energy at -6.510 eV per atom. For the total magnetic moment, the calculation gives 0.90 μB per formula unit.

(6)
LaSn4Rh2: optimized geometry, PBE-GGA.

a = 8.9957 Å, b = 8.9957 Å, c = 3.9790 Å
α = 90.00°, β = 90.00°, γ = 90.00°
Last column: nearest neighbours and their distance in Å.
Space group P4_2/mnm (No. 136)
Symmetry-distinct sites (fractional):
La: 0.0000 0.0000 0.0000 x2  6 Rh 3.37-3.64, 8 Sn 3.48
Sn: 0.0726 0.3086 0.5000 x8  3 Rh 2.71-2.77, 1 Sn 3.00
Rh: 0.2136 0.7864 0.5000 x4  6 Sn 2.71-2.77

Summary:
Its energy of formation is -0.4995 eV/atom. For the volume, the calculation gives 23.0 Å³ per atom. The calculation puts the electronic total energy at -5.591 eV per atom. For the total magnetic moment, the calculation gives 0.00 μB per formula unit.